(1)
VASP calculation (PBE) on Li2YPt after structural relaxation.

Lattice parameters (Å, degrees): 4.091 3.775 5.804 90.00 109.79 90.00
Space group Pm (No. 6)
Asymmetric unit:
Li (0.000, 0.000, 0.000) (multiplicity 1)
Li (0.423, 0.500, 0.852) (multiplicity 1)
Y (0.714, 0.500, 0.421) (multiplicity 1)
Pt (0.267, 0.000, 0.533) (multiplicity 1)

Summary:
Fermi-level density of states: 1.68 states/eV/cell
Calculated volume: 84 Å³/cell
Energy of formation from the pure elements: -513 meV per atom
M_tot: 0.00 μB/cell
Distance to the lowest polymorph of the same formula: 40 meV per atom

(2)
VASP calculation (PBE) on La3PrTm2 after structural relaxation.

Lattice parameters (Å, degrees): 19.110 6.574 7.333 90.00 112.47 90.00
Space group C2/c (No. 15)
Asymmetric unit:
La (0.000, 0.236, 0.250) (multiplicity 4)
La (0.181, 0.006, 0.931) (multiplicity 8)
Pr (0.000, 0.265, 0.750) (multiplicity 4)
Tm (0.146, 0.500, 0.146) (multiplicity 8)

Summary:
Fermi-level density of states: 44.21 states/eV/cell
Calculated volume: 851 Å³/cell
Energy of formation from the pure elements: 135 meV per atom
M_tot: 0.00 μB/cell
Distance to the lowest polymorph of the same formula: 0 meV per atom

(3)
VASP calculation (PBE) on La2HoTm after structural relaxation.

Lattice parameters (Å, degrees): 3.6424 3.6424 34.9098 90.00 90.00 120.00
Space group R-3m (No. 166, hexagonal axes)
Asymmetric unit:
La (0.0000, 0.0000, 0.2504) (multiplicity 6)
Ho (0.0000, 0.0000, 0.5000) (multiplicity 3)
Tm (0.0000, 0.0000, 0.0000) (multiplicity 3)

Summary:
Fermi-level density of states: 15.14 states/eV/cell
Calculated volume: 401 Å³/cell
Energy of formation from the pure elements: 16 meV per atom
M_tot: 0.00 μB/cell
Distance to the lowest polymorph of the same formula: 0 meV per atom